Density functional theory data (PBE-GGA) for a relaxed structure of HfNpNbAl.

Values from the calculation:
- ΔH_f (0 K): 0.17 eV/atom
- D(E_F): 10.6 states/eV/f.u.

Structure (extended XYZ):
```
4
Lattice="0.000 3.408 3.408 3.408 0.000 3.408 3.408 3.408 0.000" Properties=species:S:1:pos:R:3 pbc="T T T"
Hf 0.000 0.000 0.000
Np 1.704 1.704 1.704
Nb 3.408 3.408 3.408
Al 5.112 5.112 5.112
```

Density functional theory data (PBE-GGA) for a relaxed structure of HfPaNbAl.

Values from the calculation:
- ΔH_f (0 K): 0.02 eV/atom
- D(E_F): 6.3 states/eV/f.u.

Structure (extended XYZ):
```
4
Lattice="0.000 3.480 3.480 3.480 0.000 3.480 3.480 3.480 0.000" Properties=species:S:1:pos:R:3 pbc="T T T"
Hf 0.000 0.000 0.000
Pa 3.480 3.480 3.480
Nb 1.740 1.740 1.740
Al 5.220 5.220 5.220
```

Density functional theory data (PBE-GGA) for a relaxed structure of HfNbAlRe.

Values from the calculation:
- ΔH_f (0 K): -0.21 eV/atom
- D(E_F): 4.4 states/eV/f.u.

Structure (extended XYZ):
```
4
Lattice="0.000 3.264 3.264 3.264 0.000 3.264 3.264 3.264 0.000" Properties=species:S:1:pos:R:3 pbc="T T T"
Hf 0.000 0.000 0.000
Nb 3.264 3.264 3.264
Al 1.632 1.632 1.632
Re 4.896 4.896 4.896
```

Density functional theory data (PBE-GGA) for a relaxed structure of Hf2NbAlRh.

Values from the calculation:
- ΔH_f (0 K): 0.37 eV/atom
- D(E_F): 5.5 states/eV/f.u.

Structure (extended XYZ):
```
5
Lattice="4.937 0.000 0.000 0.000 4.937 0.000 0.000 0.000 4.537" Properties=species:S:1:pos:R:3 pbc="T T T"
Hf 0.000 2.469 0.000
Hf 2.469 0.000 0.000
Nb 0.000 0.000 2.269
Al 2.469 2.469 2.269
Rh 2.469 2.469 0.000
```

Density functional theory data (PBE-GGA) for a relaxed structure of HfNb2AlRh.

Values from the calculation:
- ΔH_f (0 K): 0.68 eV/atom
- D(E_F): 5.7 states/eV/f.u.

Structure (extended XYZ):
```
5
Lattice="4.820 0.000 0.000 0.000 4.820 0.000 0.000 0.000 4.917" Properties=species:S:1:pos:R:3 pbc="T T T"
Hf 0.000 0.000 0.000
Nb 0.000 2.410 2.459
Nb 2.410 0.000 2.459
Al 2.410 2.410 0.000
Rh 0.000 0.000 2.459
```

Density functional theory data (PBE-GGA) for a relaxed structure of HfNb2AlTe.

Values from the calculation:
- Energy relative to the elements, uncorrected: 32.9 kcal/mol of atoms
- D(E_F): 8.0 states/eV/f.u.

Structure (extended XYZ):
```
5
Lattice="5.055 0.000 0.000 0.000 5.055 0.000 0.000 0.000 5.268" Properties=species:S:1:pos:R:3 pbc="T T T"
Hf 0.000 0.000 0.000
Nb 0.000 2.527 0.000
Nb 2.527 0.000 0.000
Al 2.527 2.527 2.634
Te 0.000 0.000 2.634
```

Density functional theory data (PBE-GGA) for a relaxed structure of HfTiNbAl2.

Values from the calculation:
- ΔH_f (0 K): 0.93 eV/atom
- D(E_F): 6.4 states/eV/f.u.

Structure (extended XYZ):
```
5
Lattice="4.915 0.000 0.000 0.000 4.915 0.000 0.000 0.000 4.880" Properties=species:S:1:pos:R:3 pbc="T T T"
Hf 0.000 0.000 0.000
Ti 2.457 2.457 0.000
Nb 0.000 0.000 2.440
Al 0.000 2.457 2.440
Al 2.457 0.000 2.440
```

Density functional theory data (PBE-GGA) for a relaxed structure of HfTiNbAl.

Values from the calculation:
- ΔH_f (0 K): -0.16 eV/atom
- D(E_F): 2.7 states/eV/f.u.

Structure (extended XYZ):
```
4
Lattice="0.000 3.315 3.315 3.315 0.000 3.315 3.315 3.315 0.000" Properties=species:S:1:pos:R:3 pbc="T T T"
Hf 0.000 0.000 0.000
Ti 3.315 3.315 3.315
Nb 1.658 1.658 1.658
Al 4.973 4.973 4.973
```

Density functional theory data (PBE-GGA) for a relaxed structure of HfUNbAl.

Values from the calculation:
- ΔH_f (0 K): 0.11 eV/atom
- D(E_F): 6.6 states/eV/f.u.

Structure (extended XYZ):
```
4
Lattice="0.000 3.383 3.383 3.383 0.000 3.383 3.383 3.383 0.000" Properties=species:S:1:pos:R:3 pbc="T T T"
Hf 0.000 0.000 0.000
U 5.074 5.074 5.074
Nb 3.383 3.383 3.383
Al 1.691 1.691 1.691
```

Density functional theory data (PBE-GGA) for a relaxed structure of HfNbAlV.

Values from the calculation:
- ΔH_f (0 K): -0.08 eV/atom
- D(E_F): 4.8 states/eV/f.u.

Structure (extended XYZ):
```
4
Lattice="0.000 3.266 3.266 3.266 0.000 3.266 3.266 3.266 0.000" Properties=species:S:1:pos:R:3 pbc="T T T"
Hf 0.000 0.000 0.000
Nb 3.266 3.266 3.266
Al 4.899 4.899 4.899
V 1.633 1.633 1.633
```

Density functional theory data (PBE-GGA) for a relaxed structure of NdHf2Al.

Values from the calculation:
- ΔH_f (0 K): 0.25 eV/atom
- D(E_F): 6.0 states/eV/f.u.

Structure (extended XYZ):
```
4
Lattice="1.569 0.906 11.052 -1.569 0.906 11.052 0.000 -1.811 11.052" Properties=species:S:1:pos:R:3 pbc="T T T"
Nd 0.000 0.000 0.000
Hf 0.000 0.000 3.160
Hf 0.000 0.000 29.995
Al 0.000 0.000 16.577
```

Density functional theory data (PBE-GGA) for a relaxed structure of NdHf2Al9.

Values from the calculation:
- ΔH_f (0 K): -0.29 eV/atom
- D(E_F): 6.8 states/eV/f.u.

Structure (extended XYZ):
```
12
Lattice="2.698 1.558 8.731 -2.698 1.558 8.731 0.000 -3.116 8.731" Properties=species:S:1:pos:R:3 pbc="T T T"
Nd 0.000 0.000 0.000
Hf 0.000 0.000 3.792
Hf 0.000 0.000 22.399
Al -1.376 -0.794 11.014
Al 0.000 0.000 8.757
Al 0.000 -1.589 15.178
Al -1.376 0.794 15.178
Al 0.000 0.000 13.096
Al 1.376 -0.794 11.014
Al 0.000 1.589 11.014
Al 0.000 0.000 17.434
Al 1.376 0.794 15.178
```